Crystalline Cd2PbCl at its relaxed geometry. Source: Alexandria, functional PBE.

a b c (Å): 7.5173 7.5173 7.5173
angles (deg): 90.00 90.00 90.00
Sites, in units of the cell vectors:
Cd1 0.0000 0.0000 0.0000
Cd2 0.0000 0.5000 0.5000
Cd3 0.2500 0.2500 0.2500
Cd4 0.2500 0.7500 0.7500
Cd5 0.5000 0.0000 0.5000
Cd6 0.5000 0.5000 0.0000
Cd7 0.7500 0.2500 0.7500
Cd8 0.7500 0.7500 0.2500
Pb1 0.0000 0.0000 0.5000
Pb2 0.0000 0.5000 0.0000
Pb3 0.5000 0.0000 0.0000
Pb4 0.5000 0.5000 0.5000
Cl1 0.2500 0.2500 0.7500
Cl2 0.2500 0.7500 0.2500
Cl3 0.7500 0.2500 0.2500
Cl4 0.7500 0.7500 0.7500

- Calculated volume: 424.8 Å³/cell
- Space group: F-43m
- Formation energy from raw total energies: -30 kJ/mol of formula units